[1]
The following is a PBE-GGA calculation of crystalline Ac3Cd4Ag4 at its relaxed geometry, from Alexandria via LeMat-Bulk.

The value obtained for the final energy is -2.737 eV/atom.

It has space group Immm (No. 71), with a = 4.9038 Å, b = 7.5752 Å, c = 16.0876 Å, α = 90.00°, β = 90.00° and γ = 90.00°. The distinct sites, in fractional coordinates, are Ac at (0.0000, 0.0000, 0.0000), Ac at (0.0000, 0.5000, 0.1377), Cd at (0.0000, 0.0000, 0.2140), Cd at (0.0000, 0.1855, 0.5000) and Ag at (0.0000, 0.3091, 0.3330).

***

[2]
The following is a PBE-GGA calculation of crystalline TeMoRh2 at its relaxed geometry, from Alexandria via LeMat-Bulk.

The value obtained for the formation energy (no corrections) is 0.135 eV per atom.

It has space group P4/mmm (No. 123), with a = 4.0101 Å, b = 4.0101 Å, c = 4.0511 Å, α = 90.00°, β = 90.00° and γ = 90.00°. The distinct sites, in fractional coordinates, are Te at (0.0000, 0.0000, 0.0000), Mo at (0.5000, 0.5000, 0.0000) and Rh at (0.0000, 0.5000, 0.5000).